No. 1
Entry from Alexandria via LeMat-Bulk: a relaxed Tb5Nd2Mg crystal (PBE).

Computed properties:
- SG = I4/mmm
- VASP energy (eV/atom) = -4.2745

Cell lengths 7.067, 7.067, 7.113 Å; angles 119.79, 119.79, 90.00 degrees
Fractional positions:
1 Tb 0.722 0.222 0.944
2 Tb 0.222 0.222 0.944
3 Tb 0.722 0.722 0.944
4 Tb 0.222 0.722 0.944
5 Tb 0.722 0.722 0.444
6 Nd 0.222 0.722 0.444
7 Nd 0.722 0.222 0.444
8 Mg 0.222 0.222 0.444



No. 2
Entry from Alexandria via LeMat-Bulk: a relaxed Sc2AgHg2 crystal (PBE).

Computed properties:
- SG = P4/mbm
- E above lowest polymorph (eV per formula unit) = 0.90

Cell lengths 7.843, 7.843, 3.735 Å; angles 90.00, 90.00, 90.00 degrees
Fractional positions:
1 Sc 0.347 0.847 0.000
2 Sc 0.847 0.653 0.000
3 Sc 0.653 0.153 0.000
4 Sc 0.153 0.347 0.000
5 Hg 0.147 0.647 0.500
6 Hg 0.647 0.853 0.500
7 Hg 0.853 0.353 0.500
8 Hg 0.353 0.147 0.500
9 Ag 0.000 0.000 0.000
10 Ag 0.500 0.500 0.000



No. 3
Entry from Alexandria via LeMat-Bulk: a relaxed SrAsAu2 crystal (PBE).

Computed properties:
- SG = F-43m
- VASP energy (eV/atom) = -3.5631

Cell lengths 5.032, 5.032, 5.032 Å; angles 60.00, 60.00, 60.00 degrees
Fractional positions:
1 Sr 0.750 0.750 0.750
2 As 0.500 0.500 0.500
3 Au 0.000 0.000 0.000
4 Au 0.250 0.250 0.250



- What is the formula in the first record?
  Tb5Nd2Mg